Record 1
Density functional theory data (PBE) for a relaxed structure of Na2CrCuCl6.

```
Na2CrCuCl6
1.0
6.4651 0.0000 0.0165
0.0000 6.7517 0.0000
0.0815 0.0000 9.5848
Cu Cr Na Cl
2 2 4 12
Direct
0.0000 0.5000 0.5000
0.5000 0.0000 0.0000
0.5000 0.0000 0.5000
0.0000 0.5000 0.0000
0.4712 0.4228 0.2465
0.0288 0.9228 0.2535
0.9712 0.0772 0.7465
0.5288 0.5772 0.7535
0.2011 0.1954 0.4466
0.6890 0.2961 0.5553
0.3901 0.9735 0.7376
0.8110 0.7961 0.9447
0.7989 0.8046 0.5534
0.3110 0.7039 0.4447
0.2989 0.6954 0.0534
0.1890 0.2039 0.0553
0.8901 0.5265 0.2376
0.6099 0.0265 0.2624
0.7011 0.3046 0.9466
0.1099 0.4735 0.7624
```

Its electronic total energy is -79.1 eV for the cell shown.

---

Record 2
Density functional theory data (PBE) for a relaxed structure of CoPd6Pt3.

```
CoPd6Pt3
1.0
-2.6051 0.1847 0.7729
2.1583 -5.1853 8.5133
1.7557 10.5924 3.3866
Pd Pt Co
12 6 2
Direct
0.2500 0.4940 0.3073
0.2500 0.1895 0.9154
0.2500 0.2133 0.2896
0.7500 0.7471 0.3056
0.2500 0.2529 0.6944
0.7500 0.3399 0.1185
0.2500 0.8867 0.5211
0.7500 0.7867 0.7104
0.2500 0.6601 0.8815
0.7500 0.8105 0.0846
0.7500 0.5060 0.6927
0.7500 0.1133 0.4789
0.2500 0.3731 0.4997
0.2500 0.5778 0.0988
0.7500 0.0705 0.0999
0.7500 0.4222 0.9012
0.2500 0.9295 0.9001
0.7500 0.6269 0.5003
0.7500 0.0383 0.7211
0.2500 0.9617 0.2789
```

The calculation puts the energy of formation from the pure elements at 0.5 eV per formula unit. Its electronic total energy is -111.8 eV for the cell shown.

---

Record 3
Density functional theory data (PBE) for a relaxed structure of NbRh3Se.

```
NbRh3Se
1.0
4.7395 0.0000 0.0000
0.0000 4.7395 0.0000
0.0000 0.0000 4.7395
Rh Nb Se
3 1 1
Direct
0.0000 0.5000 0.0000
0.0000 0.0000 0.5000
0.5000 0.0000 0.0000
0.0000 0.0000 0.0000
0.5000 0.5000 0.5000
```

Its relative energy among the computed polymorphs is 358 meV per atom. Its electronic total energy is -30.4 eV for the cell shown.

---

Record 4
Density functional theory data (PBE) for a relaxed structure of Tl2Pd5Au2.

```
Tl2Pd5Au2
1.0
4.7784 -0.3032 -0.9910
-1.6481 4.7550 -2.5497
1.1028 -0.2332 7.4911
Au Pd Tl
2 5 2
Direct
0.8159 0.9254 0.6144
0.1841 0.0746 0.3856
0.4051 0.1765 0.7947
0.0000 0.0000 0.0000
0.2190 0.5981 0.4051
0.7810 0.4019 0.5949
0.5949 0.8235 0.2053
0.6381 0.3398 0.1953
0.3619 0.6602 0.8047
```

Its relative energy among the computed polymorphs is 0 meV per atom. The calculation puts the energy of formation from the pure elements at -0.8 eV per formula unit. Its electronic total energy is -38.0 eV for the cell shown.

---

Record 5
Density functional theory data (PBE) for a relaxed structure of BaPtPb2.

```
BaPtPb2
1.0
-1.7915 4.1065 0.9266
-4.8545 -3.9678 -3.0312
-2.5817 -1.8193 3.2007
Pb Ba Pt
2 1 1
Direct
0.0000 0.0000 0.0000
0.5000 0.0000 0.5000
0.5000 0.5000 0.0000
0.0000 0.5000 0.5000
```

The calculation puts the energy of formation from the pure elements at -0.6 eV per formula unit. Its electronic total energy is -16.0 eV for the cell shown.

---

Record 6
Density functional theory data (PBE) for a relaxed structure of ZrAl4Ni5.

```
ZrAl4Ni5
1.0
2.9344 0.0000 0.0000
0.0000 2.9344 0.0000
0.0000 0.0000 15.0270
Al Ni Zr
4 5 1
Direct
0.0000 0.0000 0.2179
0.0000 0.0000 0.4065
0.0000 0.0000 0.7821
0.0000 0.0000 0.5935
0.5000 0.5000 0.3141
0.5000 0.5000 0.8721
0.5000 0.5000 0.6859
0.5000 0.5000 0.1279
0.5000 0.5000 0.5000
0.0000 0.0000 0.0000
```

The calculation puts the energy of formation from the pure elements at -6.0 eV per formula unit. Its electronic total energy is -58.4 eV for the cell shown.

---

Record 7
Density functional theory data (PBE) for a relaxed structure of Th2RuAu.

```
Th2RuAu
1.0
-0.2956 3.5593 -0.3213
-2.7430 -0.4326 -2.2690
-4.7946 0.1230 5.7728
Au Th Ru
1 2 1
Direct
0.5000 0.5000 0.5000
0.0000 0.0000 0.7715
0.0000 0.0000 0.2285
0.5000 0.5000 0.0000
```

The calculation puts the energy of formation from the pure elements at -1.9 eV per formula unit. Its electronic total energy is -29.3 eV for the cell shown.

---

Record 8
Density functional theory data (PBE) for a relaxed structure of RbTeH.

```
RbTeH
1.0
-0.5738 -4.3096 -2.0512
2.5658 -3.5485 2.5814
-3.3180 -2.8062 2.6723
Te H Rb
1 1 1
Direct
0.8418 0.5162 0.7732
0.0527 0.6373 0.8896
0.3455 0.0164 0.2733
```

Its electronic total energy is -9.0 eV for the cell shown.

---

Record 9
Density functional theory data (PBE) for a relaxed structure of Fe2RuPt.

```
Fe2RuPt
1.0
-4.0404 2.2910 0.0531
-1.5078 0.7691 -4.3257
1.4712 -3.8271 2.1829
Fe Pt Ru
2 1 1
Direct
0.0001 0.0001 0.0000
0.2499 0.7499 0.5000
0.4999 0.4999 0.0000
0.7501 0.2501 0.5000
```

The calculation puts the energy of formation from the pure elements at 0.0 eV per formula unit. Its electronic total energy is -32.2 eV for the cell shown.

---

Copy entry 7 word for word.
Density functional theory data (PBE) for a relaxed structure of Th2RuAu.

```
Th2RuAu
1.0
-0.2956 3.5593 -0.3213
-2.7430 -0.4326 -2.2690
-4.7946 0.1230 5.7728
Au Th Ru
1 2 1
Direct
0.5000 0.5000 0.5000
0.0000 0.0000 0.7715
0.0000 0.0000 0.2285
0.5000 0.5000 0.0000
```

The calculation puts the energy of formation from the pure elements at -1.9 eV per formula unit. Its electronic total energy is -29.3 eV for the cell shown.